# 1
# ZrIrAu2F, optimized geometry, DFT PBE
# Electronic total energy, eV per atom: -5.25
# D(E_F), states/eV/cell: 1.76
# Raw formation energy, eV per atom: -0.08
data_ZrIrAu2F
_symmetry_space_group_name_H-M 'P 1'
_symmetry_Int_Tables_number 1
_cell_length_a 4.6595
_cell_length_b 4.0672
_cell_length_c 4.6595
_cell_angle_alpha 90.00
_cell_angle_beta 90.00
_cell_angle_gamma 90.00
loop_
_symmetry_equiv_pos_as_xyz
'x,y,z'
loop_
_atom_site_label
_atom_site_type_symbol
_atom_site_fract_x
_atom_site_fract_y
_atom_site_fract_z
Ir1 Ir 0.5000 0.5000 0.5000
Au1 Au 0.0000 0.0000 0.5000
Au2 Au 0.5000 0.0000 0.0000
Zr1 Zr 0.0000 0.5000 0.0000
F1 F 0.0000 0.0000 0.0000

=====

# 2
# CsSbPtI2, optimized geometry, DFT PBE
# Electronic total energy, eV per atom: -1.59
# Relative energy among the computed polymorphs, kJ/mol of formula units: 778
# D(E_F), states/eV/cell: 11.42
# Raw formation energy, eV per atom: 1.23
data_CsSbPtI2
_symmetry_space_group_name_H-M 'P 1'
_symmetry_Int_Tables_number 1
_cell_length_a 7.1415
_cell_length_b 7.1415
_cell_length_c 7.5711
_cell_angle_alpha 90.00
_cell_angle_beta 90.00
_cell_angle_gamma 90.00
loop_
_symmetry_equiv_pos_as_xyz
'x,y,z'
loop_
_atom_site_label
_atom_site_type_symbol
_atom_site_fract_x
_atom_site_fract_y
_atom_site_fract_z
Cs1 Cs 0.0000 0.0000 0.0000
I1 I 0.0000 0.5000 0.0000
I2 I 0.5000 0.0000 0.0000
Pt1 Pt 0.5000 0.5000 0.5000
Sb1 Sb 0.0000 0.0000 0.5000

=====

# 3
# K3DySc2Se6, optimized geometry, DFT PBE
# Electronic total energy, eV per atom: -5.12
# D(E_F), states/eV/cell: 0.00
# Raw formation energy, eV per atom: -1.66
data_K3DySc2Se6
_symmetry_space_group_name_H-M 'P 1'
_symmetry_Int_Tables_number 1
_cell_length_a 7.0685
_cell_length_b 7.0685
_cell_length_c 7.9970
_cell_angle_alpha 98.49
_cell_angle_beta 98.49
_cell_angle_gamma 120.01
loop_
_symmetry_equiv_pos_as_xyz
'x,y,z'
loop_
_atom_site_label
_atom_site_type_symbol
_atom_site_fract_x
_atom_site_fract_y
_atom_site_fract_z
K1 K 0.1642 0.8358 0.5000
K2 K 0.8358 0.1642 0.5000
K3 K 0.5000 0.5000 0.5000
Dy1 Dy 0.0000 0.0000 0.0000
Sc1 Sc 0.3330 0.6670 0.0000
Sc2 Sc 0.6670 0.3330 0.0000
Se1 Se 0.9337 0.5885 0.8013
Se2 Se 0.7209 0.7209 0.1980
Se3 Se 0.0663 0.4115 0.1987
Se4 Se 0.5885 0.9337 0.8013
Se5 Se 0.2791 0.2791 0.8020
Se6 Se 0.4115 0.0663 0.1987

=====

# 4
# Hg2Pd6Au, optimized geometry, DFT PBE
# Electronic total energy, eV per atom: -3.99
# Relative energy among the computed polymorphs, kJ/mol of formula units: 0
# ΔH_f (0 K), eV per atom: -0.093
# D(E_F), states/eV/cell: 6.42
data_Hg2Pd6Au
_symmetry_space_group_name_H-M 'P 1'
_symmetry_Int_Tables_number 1
_cell_length_a 4.7896
_cell_length_b 5.0393
_cell_length_c 7.5662
_cell_angle_alpha 81.35
_cell_angle_beta 71.55
_cell_angle_gamma 61.63
loop_
_symmetry_equiv_pos_as_xyz
'x,y,z'
loop_
_atom_site_label
_atom_site_type_symbol
_atom_site_fract_x
_atom_site_fract_y
_atom_site_fract_z
Hg1 Hg 0.3355 0.5000 0.8291
Hg2 Hg 0.6645 0.5000 0.1709
Pd1 Pd 0.9997 0.1669 0.8336
Pd2 Pd 0.3333 0.1669 0.1664
Pd3 Pd 0.6667 0.8331 0.8336
Pd4 Pd 0.3301 0.8397 0.5000
Pd5 Pd 0.6699 0.1603 0.5000
Pd6 Pd 0.0003 0.8331 0.1664
Au1 Au 0.0000 0.5000 0.5000

=====

# 5
# YAlAu, optimized geometry, DFT PBE
# Electronic total energy, eV per atom: -4.52
# ΔH_f (0 K), eV per atom: -0.030
# D(E_F), states/eV/cell: 3.06
data_YAlAu
_symmetry_space_group_name_H-M 'P 1'
_symmetry_Int_Tables_number 1
_cell_length_a 4.7985
_cell_length_b 4.7985
_cell_length_c 4.7985
_cell_angle_alpha 60.00
_cell_angle_beta 60.00
_cell_angle_gamma 60.00
loop_
_symmetry_equiv_pos_as_xyz
'x,y,z'
loop_
_atom_site_label
_atom_site_type_symbol
_atom_site_fract_x
_atom_site_fract_y
_atom_site_fract_z
Y1 Y 0.2500 0.2500 0.2500
Au1 Au 0.5000 0.5000 0.5000
Al1 Al 0.0000 0.0000 0.0000

=====

# 6
# In3IrBr, optimized geometry, DFT PBE
# Electronic total energy, eV per atom: -3.91
# Relative energy among the computed polymorphs, kJ/mol of formula units: 107
# D(E_F), states/eV/cell: 3.40
# Raw formation energy, eV per atom: -0.16
data_In3IrBr
_symmetry_space_group_name_H-M 'P 1'
_symmetry_Int_Tables_number 1
_cell_length_a 19.5710
_cell_length_b 7.4648
_cell_length_c 7.4648
_cell_angle_alpha 146.21
_cell_angle_beta 149.72
_cell_angle_gamma 30.28
loop_
_symmetry_equiv_pos_as_xyz
'x,y,z'
loop_
_atom_site_label
_atom_site_type_symbol
_atom_site_fract_x
_atom_site_fract_y
_atom_site_fract_z
Ir1 Ir 0.5483 0.0369 0.9631
Ir2 Ir 0.4517 0.9631 0.0369
Br1 Br 0.0532 0.7773 0.2227
Br2 Br 0.9468 0.2227 0.7773
In1 In 0.6798 0.2792 0.7208
In2 In 0.3202 0.7208 0.2792
In3 In 0.1549 0.2758 0.7242
In4 In 0.8451 0.7242 0.2758
In5 In 0.4355 0.7752 0.2248
In6 In 0.5645 0.2248 0.7752